# Ho2CdPb9, relaxed, DFT PBE
# DFT formation energy, eV/atom: -0.155
data_Ho2CdPb9
_chemical_formula_sum 'Ho2 Cd1 Pb9'
_cell_length_a 4.771
_cell_length_b 4.771
_cell_length_c 15.435
_cell_angle_alpha 90.00
_cell_angle_beta 90.00
_cell_angle_gamma 90.00
_space_group_name_H-M_alt 'P 4/m m m'
_space_group_IT_number 123
_space_group_name_Hall '-P 4 2'
loop_
_atom_site_label
_atom_site_type_symbol
_atom_site_fract_x
_atom_site_fract_y
_atom_site_fract_z
Ho1 Ho 0.000 0.000 0.154
Cd1 Cd 0.000 0.000 0.500
Pb1 Pb 0.000 0.500 0.000
Pb2 Pb 0.000 0.500 0.331
Pb3 Pb 0.500 0.500 0.169
Pb4 Pb 0.500 0.500 0.500

# HoCd4Pb, relaxed, DFT PBE
# Excess energy over the best structure of this formula in the dataset, meV/atom: 88.3
# DFT formation energy, eV/atom: -0.099
data_HoCd4Pb
_chemical_formula_sum 'Ho4 Cd16 Pb4'
_cell_length_a 8.435
_cell_length_b 8.435
_cell_length_c 8.435
_cell_angle_alpha 90.00
_cell_angle_beta 90.00
_cell_angle_gamma 90.00
_space_group_name_H-M_alt 'F -4 3 m'
_space_group_IT_number 216
_space_group_name_Hall 'F -4 2 3'
loop_
_atom_site_label
_atom_site_type_symbol
_atom_site_fract_x
_atom_site_fract_y
_atom_site_fract_z
Ho1 Ho 0.000 0.000 0.000
Cd1 Cd 0.125 0.125 0.625
Pb1 Pb 0.250 0.250 0.250

# Ho2CdPb, relaxed, DFT PBE
# DFT formation energy, eV/atom: -0.224
data_Ho2CdPb
_chemical_formula_sum 'Ho6 Cd3 Pb3'
_cell_length_a 3.5982
_cell_length_b 3.5982
_cell_length_c 30.4504
_cell_angle_alpha 90.00
_cell_angle_beta 90.00
_cell_angle_gamma 120.00
_space_group_name_H-M_alt 'R -3 m'
_space_group_IT_number 166
_space_group_name_Hall '-R 3 2"'
loop_
_atom_site_label
_atom_site_type_symbol
_atom_site_fract_x
_atom_site_fract_y
_atom_site_fract_z
Ho1 Ho 0.0000 0.0000 0.2471
Cd1 Cd 0.0000 0.0000 0.5000
Pb1 Pb 0.0000 0.0000 0.0000

# Ho2Cd2Pb, relaxed, DFT PBE
# DFT formation energy, eV/atom: -0.182
data_Ho2Cd2Pb
_chemical_formula_sum 'Ho4 Cd4 Pb2'
_cell_length_a 10.497
_cell_length_b 4.460
_cell_length_c 6.117
_cell_angle_alpha 90.00
_cell_angle_beta 94.06
_cell_angle_gamma 90.00
_space_group_name_H-M_alt 'C 1 2/m 1'
_space_group_IT_number 12
loop_
_space_group_symop_operation_xyz
'x,y,z'
'-x,-y,-z'
'-x,y,-z'
'x,-y,z'
'x+1/2,y+1/2,z'
'-x+1/2,-y+1/2,-z'
'-x+1/2,y+1/2,-z'
'x+1/2,-y+1/2,z'
loop_
_atom_site_label
_atom_site_type_symbol
_atom_site_fract_x
_atom_site_fract_y
_atom_site_fract_z
Ho1 Ho 0.199 0.000 0.208
Cd1 Cd 0.096 0.000 0.680
Pb1 Pb 0.000 0.500 0.000

# HoCd2Pb, relaxed, DFT PBE
# Excess energy over the best structure of this formula in the dataset, meV/atom: 147.7
# DFT formation energy, eV/atom: -0.161
data_HoCd2Pb
_chemical_formula_sum 'Ho1 Cd2 Pb1'
_cell_length_a 3.594
_cell_length_b 3.594
_cell_length_c 8.187
_cell_angle_alpha 90.00
_cell_angle_beta 90.00
_cell_angle_gamma 90.00
_space_group_name_H-M_alt 'P 4/m m m'
_space_group_IT_number 123
_space_group_name_Hall '-P 4 2'
loop_
_atom_site_label
_atom_site_type_symbol
_atom_site_fract_x
_atom_site_fract_y
_atom_site_fract_z
Ho1 Ho 0.000 0.000 0.000
Cd1 Cd 0.500 0.500 0.244
Pb1 Pb 0.000 0.000 0.500

# HoCdPb6, relaxed, DFT PBE
# DFT formation energy, eV/atom: -0.077
data_HoCdPb6
_chemical_formula_sum 'Ho2 Cd2 Pb12'
_cell_length_a 9.579
_cell_length_b 9.615
_cell_length_c 5.111
_cell_angle_alpha 90.00
_cell_angle_beta 90.00
_cell_angle_gamma 90.00
_space_group_name_H-M_alt 'C m m m'
_space_group_IT_number 65
_space_group_name_Hall '-C 2 2'
loop_
_atom_site_label
_atom_site_type_symbol
_atom_site_fract_x
_atom_site_fract_y
_atom_site_fract_z
Ho1 Ho 0.000 0.000 0.000
Cd1 Cd 0.000 0.500 0.000
Pb1 Pb 0.000 0.251 0.500
Pb2 Pb 0.246 0.500 0.500
Pb3 Pb 0.250 0.250 0.000